1.
NdTlBr | Alexandria via LeMat-Bulk | PBE | optimized geometry; VASP energy = -3.901 eV per atom; formation energy from raw total energies = -965 meV per atom
1.0
4.637 0.000 0.000
2.319 3.660 -1.654
2.319 -1.566 12.778
Nd Br Tl
2 2 2
direct
0.771 0.162 0.297
0.229 0.838 0.703
0.633 0.583 0.150
0.367 0.417 0.850
0.906 0.742 0.445
0.094 0.258 0.555

---

2.
Nd2TlBr | Alexandria via LeMat-Bulk | PBE | optimized geometry; density of states at the Fermi level = 2.157 states/eV/cell; VASP energy = -4.125 eV per atom; E above lowest polymorph = 0 meV per atom; formation energy from raw total energies = -731 meV per atom
1.0
4.517 0.000 0.000
2.258 3.912 0.000
2.258 1.304 7.046
Tl Nd Br
1 2 1
direct
0.000 0.000 0.000
0.251 0.251 0.246
0.749 0.749 0.754
0.500 0.500 0.500

---

Among the records above, which one has the highest VASP energy?
NdTlBr

---

Number 1 is which compound?
NdTlBr

---

The highest VASP energy belongs to which entry?
NdTlBr